A relaxed AlWF3 crystal. Source: Alexandria, functional GGA+U.

Properties
Energy above the lowest structure with this stoichiometry   0 meV per atom
Space-group type   No. 221
Calculated total energy   -23.7 eV per cell

Lattice parameters (Å, degrees): 4.386 4.386 4.386 90.00 90.00 90.00
Fractional positions:
W  0.000  0.000  0.000
F  0.000  0.500  0.000
F  0.500  0.000  0.000
F  0.000  0.000  0.500
Al  0.500  0.500  0.500